{
  "formula": "Co3SiSb",
  "functional": "GGA-PBE",
  "state": "relaxed",
  "polymorph_energy_mev_per_atom": 0,
  "space_group": "Pm-3m (221)",
  "lattice_angstrom": [[4.2466, 0.0000, 0.0000], [0.0000, 4.2466, 0.0000], [0.0000, 0.0000, 4.2466]],
  "species": ["Co", "Co", "Co", "Si", "Sb"],
  "fractional_positions": [[0.0000, 0.0000, 0.5000], [0.0000, 0.5000, 0.0000], [0.5000, 0.0000, 0.0000], [0.0000, 0.0000, 0.0000], [0.5000, 0.5000, 0.5000]]
}

{
  "formula": "BRuPt3",
  "functional": "GGA-PBE",
  "state": "relaxed",
  "space_group": "Pm-3m (221)",
  "ef_ev_per_atom": 2.14,
  "lattice_angstrom": [[4.8003, 0.0000, 0.0000], [0.0000, 4.8003, 0.0000], [0.0000, 0.0000, 4.8003]],
  "species": ["B", "Ru", "Pt", "Pt", "Pt"],
  "fractional_positions": [[0.0000, 0.0000, 0.0000], [0.5000, 0.5000, 0.5000], [0.0000, 0.5000, 0.5000], [0.5000, 0.0000, 0.5000], [0.5000, 0.5000, 0.0000]]
}

{
  "formula": "CaPm2HgO",
  "functional": "GGA-PBE",
  "state": "relaxed",
  "space_group": "P4/mmm (123)",
  "total_energy_ev_per_atom": -4.690,
  "lattice_angstrom": [[4.9445, 0.0000, 0.0000], [0.0000, 4.9445, 0.0000], [0.0000, 0.0000, 4.8006]],
  "species": ["Ca", "Pm", "Pm", "Hg", "O"],
  "fractional_positions": [[0.0000, 0.0000, 0.0000], [0.0000, 0.5000, 0.5000], [0.5000, 0.0000, 0.5000], [0.5000, 0.5000, 0.0000], [0.0000, 0.0000, 0.5000]]
}

{
  "formula": "Y6Cd2Rh",
  "functional": "GGA-PBE",
  "state": "relaxed",
  "space_group": "P2_1/c (14)",
  "ef_ev_per_atom": -0.27,
  "lattice_angstrom": [[6.9130, 0.0000, 0.0000], [0.0000, 7.3759, 0.0000], [-6.7906, 0.0000, 10.4030]],
  "species": ["Y", "Y", "Y", "Y", "Y", "Y", "Y", "Y", "Y", "Y", "Y", "Y", "Cd", "Cd", "Cd", "Cd", "Rh", "Rh"],
  "fractional_positions": [[0.1427, 0.0067, 0.2471], [0.1427, 0.4933, 0.7471], [0.2179, 0.6982, 0.0420], [0.2179, 0.8018, 0.5420], [0.3526, 0.1867, 0.0452], [0.3526, 0.3133, 0.5452], [0.6474, 0.6867, 0.4548], [0.6474, 0.8133, 0.9548], [0.7821, 0.1982, 0.4580], [0.7821, 0.3018, 0.9580], [0.8573, 0.5067, 0.2529], [0.8573, 0.9933, 0.7529], [0.2965, 0.0879, 0.7505], [0.2965, 0.4121, 0.2505], [0.7035, 0.5879, 0.7495], [0.7035, 0.9121, 0.2495], [0.5000, 0.0000, 0.5000], [0.5000, 0.5000, 0.0000]]
}

{
  "formula": "NaTl5Te3",
  "functional": "GGA-PBE",
  "state": "relaxed",
  "space_group": "C2/m (12)",
  "total_energy_ev_per_atom": -2.769,
  "lattice_angstrom": [[6.4784, -5.0847, 0.0000], [6.4784, 5.0847, 0.0000], [-5.4798, 0.0000, 11.6911]],
  "species": ["Na", "Na", "Tl", "Tl", "Tl", "Tl", "Tl", "Tl", "Tl", "Tl", "Tl", "Tl", "Te", "Te", "Te", "Te", "Te", "Te"],
  "fractional_positions": [[0.0122, 0.0122, 0.2581], [0.9878, 0.9878, 0.7419], [0.0541, 0.4047, 0.6194], [0.2648, 0.2648, 0.0988], [0.3249, 0.6751, 0.0000], [0.4047, 0.0541, 0.6194], [0.4757, 0.4757, 0.6507], [0.5243, 0.5243, 0.3493], [0.5953, 0.9459, 0.3806], [0.6751, 0.3249, 0.0000], [0.7352, 0.7352, 0.9012], [0.9459, 0.5953, 0.3806], [0.0000, 0.0000, 0.0000], [0.0000, 0.0000, 0.5000], [0.2595, 0.2595, 0.8442], [0.3007, 0.3007, 0.3858], [0.6993, 0.6993, 0.6142], [0.7405, 0.7405, 0.1558]]
}

{
  "formula": "Y3MgCu3",
  "functional": "GGA-PBE",
  "state": "relaxed",
  "polymorph_energy_mev_per_atom": 0,
  "space_group": "Cmcm (63)",
  "ef_ev_per_atom": -0.21,
  "lattice_angstrom": [[2.1781, -5.0672, 0.0000], [2.1781, 5.0672, 0.0000], [0.0000, 0.0000, 13.8080]],
  "species": ["Y", "Y", "Y", "Y", "Y", "Y", "Mg", "Mg", "Cu", "Cu", "Cu", "Cu", "Cu", "Cu"],
  "fractional_positions": [[0.0245, 0.9755, 0.7500], [0.3054, 0.6946, 0.6050], [0.3054, 0.6946, 0.8950], [0.6946, 0.3054, 0.1050], [0.6946, 0.3054, 0.3950], [0.9755, 0.0245, 0.2500], [0.0000, 0.0000, 0.0000], [0.0000, 0.0000, 0.5000], [0.2632, 0.7368, 0.2500], [0.4006, 0.5994, 0.1008], [0.4006, 0.5994, 0.3992], [0.5994, 0.4006, 0.6008], [0.5994, 0.4006, 0.8992], [0.7368, 0.2632, 0.7500]]
}

{
  "formula": "PmPrMgTc",
  "functional": "GGA-PBE",
  "state": "relaxed",
  "space_group": "F-43m (216)",
  "ef_ev_per_atom": 0.11,
  "lattice_angstrom": [[0.0000, 3.6708, 3.6708], [3.6708, 0.0000, 3.6708], [3.6708, 3.6708, 0.0000]],
  "species": ["Pm", "Pr", "Mg", "Tc"],
  "fractional_positions": [[0.0000, 0.0000, 0.0000], [0.5000, 0.5000, 0.5000], [0.2500, 0.2500, 0.2500], [0.7500, 0.7500, 0.7500]]
}

{
  "formula": "HfTl2I6",
  "functional": "GGA-PBE",
  "state": "relaxed",
  "polymorph_energy_mev_per_atom": 38,
  "space_group": "P4_2/mnm (136)",
  "lattice_angstrom": [[7.8371, 0.0000, 0.0000], [0.0000, 7.8371, 0.0000], [0.0000, 0.0000, 14.3380]],
  "species": ["Hf", "Hf", "Tl", "Tl", "Tl", "Tl", "I", "I", "I", "I", "I", "I", "I", "I", "I", "I", "I", "I"],
  "fractional_positions": [[0.0000, 0.0000, 0.0000], [0.5000, 0.5000, 0.5000], [0.0000, 0.0000, 0.3349], [0.0000, 0.0000, 0.6651], [0.5000, 0.5000, 0.1651], [0.5000, 0.5000, 0.8349], [0.1813, 0.1813, 0.1424], [0.1813, 0.1813, 0.8576], [0.2425, 0.2425, 0.5000], [0.2575, 0.7425, 0.0000], [0.3187, 0.6813, 0.3576], [0.3187, 0.6813, 0.6424], [0.6813, 0.3187, 0.3576], [0.6813, 0.3187, 0.6424], [0.7425, 0.2575, 0.0000], [0.7575, 0.7575, 0.5000], [0.8187, 0.8187, 0.1424], [0.8187, 0.8187, 0.8576]]
}

{
  "formula": "CoSbP2",
  "functional": "GGA-PBE",
  "state": "relaxed",
  "space_group": "Cmmm (65)",
  "total_energy_ev_per_atom": -4.899,
  "lattice_angstrom": [[2.6919, -3.5641, 0.0000], [2.6919, 3.5641, 0.0000], [0.0000, 0.0000, 3.4002]],
  "species": ["Co", "Sb", "P", "P"],
  "fractional_positions": [[0.0000, 0.0000, 0.0000], [0.5000, 0.5000, 0.0000], [0.0000, 0.5000, 0.5000], [0.5000, 0.0000, 0.5000]]
}

{
  "formula": "Cr3BOs",
  "functional": "GGA-PBE",
  "state": "relaxed",
  "polymorph_energy_mev_per_atom": 1851,
  "space_group": "Pm-3m (221)",
  "ef_ev_per_atom": 2.08,
  "lattice_angstrom": [[4.6492, 0.0000, 0.0000], [0.0000, 4.6492, 0.0000], [0.0000, 0.0000, 4.6492]],
  "species": ["Cr", "Cr", "Cr", "B", "Os"],
  "fractional_positions": [[0.0000, 0.0000, 0.5000], [0.0000, 0.5000, 0.0000], [0.5000, 0.0000, 0.0000], [0.5000, 0.5000, 0.5000], [0.0000, 0.0000, 0.0000]]
}

{
  "formula": "KTeC2",
  "functional": "GGA-PBE",
  "state": "relaxed",
  "space_group": "I-42d (122)",
  "total_energy_ev_per_atom": -4.015,
  "lattice_angstrom": [[-3.2161, 3.2161, 3.9899], [3.2161, -3.2161, 3.9899], [3.2161, 3.2161, -3.9899]],
  "species": ["K", "K", "Te", "Te", "C", "C", "C", "C"],
  "fractional_positions": [[0.0000, 0.0000, 0.0000], [0.7500, 0.2500, 0.5000], [0.2500, 0.7500, 0.5000], [0.5000, 0.5000, 0.0000], [0.2204, 0.6250, 0.0954], [0.3750, 0.4704, 0.5954], [0.5296, 0.1250, 0.9046], [0.8750, 0.7796, 0.4046]]
}

{
  "formula": "ScRu2O6",
  "functional": "GGA-PBE",
  "state": "relaxed",
  "space_group": "P321 (150)",
  "total_energy_ev_per_atom": -7.633,
  "lattice_angstrom": [[8.7834, 0.0000, 0.0000], [-4.3917, 7.6066, 0.0000], [0.0000, 0.0000, 4.4298]],
  "species": ["Sc", "Sc", "Sc", "Ru", "Ru", "Ru", "Ru", "Ru", "Ru", "O", "O", "O", "O", "O", "O", "O", "O", "O", "O", "O", "O", "O", "O", "O", "O", "O", "O"],
  "fractional_positions": [[0.0000, 0.0000, 0.0000], [0.3333, 0.6667, 0.4989], [0.6667, 0.3333, 0.5011], [0.0000, 0.3415, 0.0000], [0.0000, 0.6749, 0.5000], [0.3251, 0.3251, 0.5000], [0.3415, 0.0000, 0.0000], [0.6585, 0.6585, 0.0000], [0.6749, 0.0000, 0.5000], [0.1014, 0.5566, 0.2493], [0.1123, 0.2323, 0.2468], [0.1200, 0.8877, 0.2468], [0.2144, 0.4346, 0.7479], [0.2202, 0.7856, 0.7479], [0.2323, 0.1123, 0.7532], [0.4346, 0.2144, 0.2521], [0.4434, 0.5447, 0.2493], [0.4553, 0.8986, 0.2493], [0.5447, 0.4434, 0.7507], [0.5566, 0.1014, 0.7507], [0.5654, 0.7798, 0.7479], [0.7677, 0.8800, 0.2468], [0.7798, 0.5654, 0.2521], [0.7856, 0.2202, 0.2521], [0.8800, 0.7677, 0.7532], [0.8877, 0.1200, 0.7532], [0.8986, 0.4553, 0.7507]]
}